# BaMnF2

A relaxed BaMnF2 crystal (PBE+U, the Alexandria database).

Cell and atoms, written as extended XYZ:
```
4
Lattice="2.1677 1.2516 6.2716 -2.1677 1.2516 6.2716 0.0000 -2.5031 6.2716" Properties=species:S:1:pos:R:3 pbc="T T T"
Ba 0.0000 0.0000 0.0000
Mn 0.0000 0.0000 9.4074
F 0.0000 0.0000 7.1823
F 0.0000 0.0000 11.6325
```

Properties
volume: 25.523 A^3/atom
VASP energy: -5.5536 eV/atom
space-group type: R-3m, No. 166
E above lowest polymorph: 0 meV per atom
Fermi-level density of states: 0.008 states/eV per cell